# 1
The following is a DFT calculation (PBE) of a relaxed structure of ZrCu2Cl.

a = 3.1481 Å, b = 3.1481 Å, c = 7.5393 Å
α = 90.00°, β = 90.00°, γ = 90.00°
Fractional positions:
1 Zr 0.0000 0.0000 0.0000
2 Cu 0.0000 0.0000 0.6252
3 Cu 0.5000 0.5000 0.7676
4 Cl 0.5000 0.5000 0.2231

Uncorrected formation energy   -0.298 eV/atom
DOS at the Fermi energy   2.8 states/eV per cell
SG   P4mm, No. 99

***

# 2
The following is a DFT calculation (PBE) of a relaxed structure of ZrCu2Cl.

a = 5.8231 Å, b = 5.8231 Å, c = 5.8231 Å
α = 100.79°, β = 100.79°, γ = 128.73°
Fractional positions:
1 Zr 0.0000 0.0000 0.0000
2 Zr 0.7500 0.2500 0.5000
3 Cu 0.1419 0.1250 0.5169
4 Cu 0.3750 0.8581 0.9831
5 Cu 0.6081 0.6250 0.4831
6 Cu 0.8750 0.3919 0.0169
7 Cl 0.2500 0.7500 0.5000
8 Cl 0.5000 0.5000 0.0000

Uncorrected formation energy   0.006 eV/atom
DOS at the Fermi energy   7.5 states/eV per cell
SG   I-42d, No. 122

***

# 3
The following is a DFT calculation (PBE) of a relaxed structure of ZrCu2Cl6.

a = 6.1298 Å, b = 11.7498 Å, c = 11.8156 Å
α = 61.82°, β = 88.82°, γ = 89.57°
Fractional positions:
1 Zr 0.0000 0.0000 0.0000
2 Zr 0.0310 0.3402 0.3292
3 Zr 0.5270 0.6671 0.6641
4 Cu 0.0899 0.7348 0.7292
5 Cu 0.4296 0.0638 0.0657
6 Cu 0.4530 0.4200 0.4089
7 Cu 0.4640 0.1951 0.4006
8 Cu 0.5763 0.9336 0.9300
9 Cu 0.9522 0.5984 0.5951
10 Cl 0.2282 0.8939 0.1984
11 Cl 0.2351 0.2003 0.8986
12 Cl 0.2347 0.8977 0.8920
13 Cl 0.2606 0.5406 0.2363
14 Cl 0.2631 0.2352 0.5439
15 Cl 0.2678 0.2334 0.2310
16 Cl 0.2861 0.5658 0.8626
17 Cl 0.2934 0.8686 0.5591
18 Cl 0.3012 0.5615 0.5604
19 Cl 0.7458 0.7752 0.7657
20 Cl 0.7567 0.4674 0.7691
21 Cl 0.7615 0.7706 0.4630
22 Cl 0.7680 0.1020 0.1057
23 Cl 0.7687 0.7985 0.0990
24 Cl 0.7759 0.1055 0.7995
25 Cl 0.7968 0.4279 0.1507
26 Cl 0.8031 0.4357 0.4488
27 Cl 0.8085 0.1322 0.4429

Uncorrected formation energy   -1.187 eV/atom
DOS at the Fermi energy   0.0 states/eV per cell
SG   P1, No. 1

***

# 4
The following is a DFT calculation (PBE) of a relaxed structure of ZrCu2Cl.

a = 5.7113 Å, b = 5.7113 Å, c = 4.3307 Å
α = 112.19°, β = 112.19°, γ = 30.50°
Fractional positions:
1 Zr 0.0000 0.0000 0.0000
2 Cu 0.2573 0.2573 0.7577
3 Cu 0.7427 0.7427 0.2423
4 Cl 0.5000 0.5000 0.5000

Uncorrected formation energy   -0.108 eV/atom
DOS at the Fermi energy   1.5 states/eV per cell
SG   C2/m, No. 12

***

# 5
The following is a DFT calculation (PBE) of a relaxed structure of ZrCu2Cl.

a = 3.0320 Å, b = 4.4384 Å, c = 5.0822 Å
α = 90.00°, β = 104.87°, γ = 90.00°
Fractional positions:
1 Zr 0.0000 0.0000 0.0000
2 Cu 0.3737 0.5000 0.7466
3 Cu 0.6263 0.5000 0.2534
4 Cl 0.5000 0.0000 0.5000

Uncorrected formation energy   0.013 eV/atom
DOS at the Fermi energy   2.6 states/eV per cell
SG   P2/m, No. 10

***

# 6
The following is a DFT calculation (PBE) of a relaxed structure of ZrCu2Cl.

a = 3.1137 Å, b = 3.1137 Å, c = 7.0867 Å
α = 90.00°, β = 90.00°, γ = 90.00°
Fractional positions:
1 Zr 0.0000 0.0000 0.0000
2 Cu 0.5000 0.5000 0.2577
3 Cu 0.5000 0.5000 0.7423
4 Cl 0.0000 0.0000 0.5000

Uncorrected formation energy   -0.048 eV/atom
DOS at the Fermi energy   2.1 states/eV per cell
SG   P4/mmm, No. 123

***

# 7
The following is a DFT calculation (PBE) of a relaxed structure of ZrCu2Cl.

a = 4.6273 Å, b = 4.6273 Å, c = 5.2626 Å
α = 104.14°, β = 104.14°, γ = 38.67°
Fractional positions:
1 Zr 0.0000 0.0000 0.0000
2 Cu 0.5026 0.5026 0.4572
3 Cu 0.7657 0.7657 0.3501
4 Cl 0.2516 0.2516 0.8269

Uncorrected formation energy   -0.119 eV/atom
DOS at the Fermi energy   2.0 states/eV per cell
SG   Cm, No. 8

***

# 8
The following is a DFT calculation (PBE) of a relaxed structure of ZrCu2Cl6.

a = 9.7886 Å, b = 9.7886 Å, c = 6.1609 Å
α = 96.84°, β = 96.84°, γ = 92.63°
Fractional positions:
1 Zr 0.0910 0.9090 0.7500
2 Zr 0.9090 0.0910 0.2500
3 Cu 0.3992 0.3989 0.1946
4 Cu 0.3989 0.3992 0.6946
5 Cu 0.6011 0.6008 0.3054
6 Cu 0.6008 0.6011 0.8054
7 Cl 0.0500 0.1606 0.6165
8 Cl 0.0822 0.6888 0.8612
9 Cl 0.1606 0.0500 0.1165
10 Cl 0.2826 0.4914 0.4397
11 Cl 0.3112 0.9178 0.6388
12 Cl 0.4914 0.2826 0.9397
13 Cl 0.5086 0.7174 0.0603
14 Cl 0.6888 0.0822 0.3612
15 Cl 0.7174 0.5086 0.5603
16 Cl 0.8394 0.9500 0.8835
17 Cl 0.9178 0.3112 0.1388
18 Cl 0.9500 0.8394 0.3835

Uncorrected formation energy   -1.167 eV/atom
SG   C2/c, No. 15

***

Q: uncorrected formation energy of number 4 (ZrCu2Cl)?
A: -0.108 eV/atom